(1)
{
  "formula": "LiDyGa2Au2",
  "functional": "PBE-GGA",
  "state": "relaxed",
  "lattice_angstrom": [[4.5005, 0.0000, 0.0000], [-2.2502, 3.8975, 0.0000], [0.0000, 0.0000, 6.4592]],
  "species": ["Ga", "Li", "Au", "Dy", "Ga", "Au"],
  "fractional_positions": [[0.6667, 0.3333, 0.2910], [0.0000, 0.0000, 0.5000], [0.6667, 0.3333, 0.7296], [0.0000, 0.0000, 0.0000], [0.3333, 0.6667, 0.7090], [0.3333, 0.6667, 0.2704]]
}

(2)
{
  "formula": "MoPAu",
  "functional": "PBE-GGA",
  "state": "relaxed",
  "polymorph_energy_mev_per_atom": 77,
  "lattice_angstrom": [[2.0321, -3.5196, 0.0000], [2.0321, 3.5196, 0.0000], [0.0000, 0.0000, 3.4913]],
  "species": ["P", "Au", "Mo"],
  "fractional_positions": [[0.6667, 0.3333, 0.0000], [0.0000, 0.0000, 0.5000], [0.3333, 0.6667, 0.0000]]
}

Number 1: volume 18.88 Å³/atom, E_form -3.914 eV per formula unit. Number 2: volume 16.65 Å³/atom, E_form 0.317 eV per formula unit.